(1)
Below is a geometry-optimized CsAlRe3 structure, with properties calculated at the GGA-PBEsol level.

```
CsAlRe3
1.0
-1.040 4.321 1.939
-3.129 -2.117 3.040
3.555 -0.599 3.242
Cs Re Al
1 3 1
Direct
0.000 0.000 0.000
0.000 0.000 0.500
0.000 0.500 0.000
0.500 0.000 0.000
0.500 0.500 0.500
```

Properties
formation energy from the elements: 4095.6 meV per atom
E_tot: -24.55 eV per formula unit
space-group type: Pm-3m (221)
total moment: 2.5 μB/f.u.

---

(2)
Below is a geometry-optimized SrCuI3 structure, with properties calculated at the GGA-PBEsol level.

```
SrCuI3
1.0
5.423 0.000 0.000
0.000 5.423 0.000
0.000 0.000 5.423
I Cu Sr
3 1 1
Direct
0.000 0.000 0.500
0.000 0.500 0.000
0.500 0.000 0.000
0.000 0.000 0.000
0.500 0.500 0.500
```

Properties
E_tot: -15.34 eV per formula unit
raw formation energy: -3.86 eV/f.u.
space-group type: Pm-3m (221)
total moment: 0.0 μB/f.u.

---

> E_tot of number 2 (SrCuI3)?

-15.34 eV per formula unit

---

> total moment of number 2 (SrCuI3)?

0.0 μB/f.u.